The following is a PBE calculation of Ac2HoBi2O2 after structural relaxation, from Alexandria via LeMat-Bulk.

## Properties
Uncorrected formation energy: -1.9265 eV/atom
Symmetry: I4/mmm, No. 139
Fermi-level density of states: 0.4848 states/eV per atom

CIF file:
```
data_Ac2HoBi2O2
_chemical_formula_sum 'Ac2 Ho1 Bi2 O2'
_cell_length_a 4.525
_cell_length_b 4.525
_cell_length_c 9.312
_cell_angle_alpha 104.06
_cell_angle_beta 104.06
_cell_angle_gamma 90.00
_space_group_name_H-M_alt 'P 1'
_space_group_IT_number 1
loop_
_space_group_symop_operation_xyz
'x,y,z'
loop_
_atom_site_label
_atom_site_type_symbol
_atom_site_fract_x
_atom_site_fract_y
_atom_site_fract_z
_atom_site_occupancy
Ac1 Ac 0.389 0.389 0.778 1
Ac2 Ac 0.611 0.611 0.222 1
Ho1 Ho 0.000 0.000 0.000 1
Bi1 Bi 0.187 0.187 0.375 1
Bi2 Bi 0.813 0.813 0.625 1
O1 O 0.000 0.500 0.000 1
O2 O 0.500 0.000 0.000 1
```